Entry 1:
Density functional theory data (PBEsol) for TlSnMo2Pd after structural relaxation.

POSCAR file:
```
TlSnMo2Pd
1.0
5.0982 0.0000 0.0000
0.0000 5.0982 0.0000
0.0000 0.0000 5.2816
Tl Sn Mo Pd
1 1 2 1
direct
0.0000 0.0000 0.0000
0.0000 0.0000 0.5000
0.0000 0.5000 0.0000
0.5000 0.0000 0.0000
0.5000 0.5000 0.5000
```

## Properties
Theoretical density ... 7.52 Mg/m³
DOS(E_F) ... 5.95 states/eV per cell

Entry 2:
Density functional theory data (PBEsol) for SrTc2MoPd after structural relaxation.

POSCAR file:
```
SrTc2MoPd
1.0
4.8183 0.0000 0.0000
0.0000 4.8183 0.0000
0.0000 0.0000 4.7540
Sr Tc Mo Pd
1 2 1 1
direct
0.0000 0.0000 0.0000
0.0000 0.5000 0.5000
0.5000 0.0000 0.5000
0.5000 0.5000 0.0000
0.5000 0.5000 0.5000
```

## Properties
Theoretical density ... 7.31 Mg/m³
DOS(E_F) ... 9.44 states/eV per cell

Entry 3:
Density functional theory data (PBEsol) for TaMo3Pd after structural relaxation.

POSCAR file:
```
TaMo3Pd
1.0
4.6067 0.0000 0.0000
0.0000 4.6067 0.0000
0.0000 0.0000 4.6067
Ta Mo Pd
1 3 1
direct
0.0000 0.0000 0.0000
0.0000 0.5000 0.5000
0.5000 0.0000 0.5000
0.5000 0.5000 0.0000
0.5000 0.5000 0.5000
```

## Properties
Polymorph energy (0 for the lowest one) ... 0.23 eV per formula unit
Theoretical density ... 9.77 Mg/m³
DOS(E_F) ... 7.39 states/eV per cell

Entry 4:
Density functional theory data (PBEsol) for TaMo3Pd after structural relaxation.

POSCAR file:
```
TaMo3Pd
1.0
4.6567 0.0000 0.0000
0.0000 4.6567 0.0000
0.0000 0.0000 4.6567
Ta Mo Pd
1 3 1
direct
0.0000 0.0000 0.0000
0.0000 0.0000 0.5000
0.0000 0.5000 0.0000
0.5000 0.0000 0.0000
0.5000 0.5000 0.5000
```

## Properties
Polymorph energy (0 for the lowest one) ... 0.00 eV per formula unit
Theoretical density ... 9.46 Mg/m³
DOS(E_F) ... 5.12 states/eV per cell

Entry 5:
Density functional theory data (PBEsol) for TaMo2Pd after structural relaxation.

POSCAR file:
```
TaMo2Pd
1.0
0.0000 3.1562 3.1562
3.1562 0.0000 3.1562
3.1562 3.1562 0.0000
Ta Mo Pd
1 2 1
direct
0.0000 0.0000 0.0000
0.2500 0.2500 0.2500
0.7500 0.7500 0.7500
0.5000 0.5000 0.5000
```

## Properties
Theoretical density ... 12.66 Mg/m³
DOS(E_F) ... 5.56 states/eV per cell

Entry 6:
Density functional theory data (PBEsol) for TaTl2MoPd after structural relaxation.

POSCAR file:
```
TaTl2MoPd
1.0
5.3210 0.0000 0.0000
0.0000 5.3210 0.0000
0.0000 0.0000 4.7382
Ta Tl Mo Pd
1 2 1 1
direct
0.0000 0.0000 0.0000
0.0000 0.5000 0.0000
0.5000 0.0000 0.0000
0.5000 0.5000 0.5000
0.0000 0.0000 0.5000
```

## Properties
Theoretical density ... 9.80 Mg/m³
DOS(E_F) ... 3.30 states/eV per cell

So what do the calculations give for energy relative to the elements? Going down the list: 2.43 1.77 2.00 1.96 0.20 1.69 eV per atom.
So what do the calculations give for electronic total energy? Going down the list: -4.85 -6.65 -8.76 -8.81 -10.31 -5.42 eV/atom.